DyAl11 | the Alexandria database | PBE-GGA | relaxed; total DFT energy (no corrections) = -46.3 eV per formula unit; symmetry = No. 141; magnetization = 0.00 Bohr magnetons per cell; D(E_F) = 12.17 states/eV per cell
1.0
6.559 0.000 2.991
3.280 7.763 1.496
0.059 0.000 8.559
Dy Al
2 22
Cartesian
3.280 0.000 1.496
3.309 3.881 5.775
5.569 6.422 6.083
5.023 1.340 7.280
0.000 0.000 0.000
6.589 3.881 7.271
4.963 5.822 8.663
8.214 5.822 5.879
6.603 1.941 9.410
6.574 1.941 5.131
4.241 3.224 8.993
2.318 5.222 8.866
4.993 2.541 3.000
6.350 4.539 4.369
6.827 4.539 10.172
2.377 3.224 2.557
1.625 2.541 8.550
4.300 5.222 2.684
2.406 0.658 6.837
7.609 6.422 8.459
1.595 1.340 4.271
3.518 7.105 4.397
3.100 7.105 7.153
4.212 0.658 4.714